(1)
! Sr8Pt2N, optimized geometry, DFT PBE-GGA; values from VASP
! Fermi-level density of states   7.62 states/eV/f.u.
! Total magnetization   0.0 μB/f.u.
! Space-group type   No. 12
! E_form (uncorrected)   -452 meV/atom
! DFT total energy   -3.530 eV/atom
! Crystal system   monoclinic
&SYSTEM
  ibrav = 0, nat = 11, ntyp = 3
/
ATOMIC_SPECIES
Sr 87.62 Sr.upf
Pt 195.08 Pt.upf
N 14.01 N.upf
ATOMIC_POSITIONS crystal
Sr 0.7350 0.2365 0.9304
Sr 0.1955 0.2365 0.9304
Sr 0.2650 0.7635 0.0696
Sr 0.7034 0.4024 0.4067
Sr 0.8045 0.7635 0.0696
Sr 0.1813 0.1087 0.3627
Sr 0.8187 0.8913 0.6373
Sr 0.2966 0.5976 0.5933
Pt 0.1029 0.4618 0.2058
Pt 0.8971 0.5382 0.7942
N 0.0000 0.0000 0.0000
CELL_PARAMETERS angstrom
6.7841 0.0000 -3.2315
-0.0155 7.8729 -0.0326
-0.3119 -0.0110 8.0820

(2)
! SrPtN3, optimized geometry, DFT PBE-GGA; values from VASP
! Fermi-level density of states   5.77 states/eV/f.u.
! Total magnetization   0.0 μB/f.u.
! Space-group type   No. 221
! E_form (uncorrected)   875 meV/atom
! DFT total energy   -5.665 eV/atom
! Crystal system   cubic
&SYSTEM
  ibrav = 0, nat = 5, ntyp = 3
/
ATOMIC_SPECIES
Sr 87.62 Sr.upf
Pt 195.08 Pt.upf
N 14.01 N.upf
ATOMIC_POSITIONS crystal
Sr 0.5000 0.5000 0.5000
Pt 0.0000 0.0000 0.0000
N 0.0000 0.5000 0.0000
N 0.0000 0.0000 0.5000
N 0.5000 0.0000 0.0000
CELL_PARAMETERS angstrom
4.0176 0.0000 0.0000
0.0000 4.0176 0.0000
0.0000 0.0000 4.0176

(3)
! Sr6PtN, optimized geometry, DFT PBE-GGA; values from VASP
! Fermi-level density of states   5.02 states/eV/f.u.
! Total magnetization   0.0 μB/f.u.
! Space-group type   No. 12
! E_form (uncorrected)   -379 meV/atom
! DFT total energy   -3.436 eV/atom
! Energy relative to the lowest polymorph listed for this composition   43 meV/atom
! Crystal system   monoclinic
&SYSTEM
  ibrav = 0, nat = 8, ntyp = 3
/
ATOMIC_SPECIES
Sr 87.62 Sr.upf
Pt 195.08 Pt.upf
N 14.01 N.upf
ATOMIC_POSITIONS crystal
Sr 0.2947 0.0002 0.2199
Sr 0.0002 0.2947 0.2199
Sr 0.9998 0.7053 0.7801
Sr 0.7053 0.9998 0.7801
Sr 0.2941 0.2941 0.7810
Sr 0.7059 0.7059 0.2190
Pt 0.0000 0.0000 0.5000
N 0.0000 0.0000 0.0000
CELL_PARAMETERS angstrom
7.1703 -0.8725 -0.9095
-3.0045 6.5687 -0.9095
1.0574 1.4459 7.0338

(4)
! SrPtN, optimized geometry, DFT PBE-GGA; values from VASP
! Fermi-level density of states   1.53 states/eV/f.u.
! Total magnetization   0.0 μB/f.u.
! Space-group type   No. 36
! E_form (uncorrected)   -518 meV/atom
! DFT total energy   -5.867 eV/atom
! Crystal system   orthorhombic
&SYSTEM
  ibrav = 0, nat = 12, ntyp = 3
/
ATOMIC_SPECIES
Sr 87.62 Sr.upf
Pt 195.08 Pt.upf
N 14.01 N.upf
ATOMIC_POSITIONS crystal
Sr 0.0000 0.3036 0.1546
Sr 0.0000 0.6964 0.6546
Sr 0.5000 0.8036 0.1546
Sr 0.5000 0.1964 0.6546
Pt 0.0000 0.9936 0.9443
Pt 0.0000 0.0064 0.4443
Pt 0.5000 0.4936 0.9443
Pt 0.5000 0.5064 0.4443
N 0.0000 0.1635 0.7062
N 0.0000 0.8365 0.2062
N 0.5000 0.6635 0.7062
N 0.5000 0.3365 0.2062
CELL_PARAMETERS angstrom
5.1528 0.0000 0.0000
0.0000 9.3986 0.0000
0.0000 0.0000 5.2899

(5)
! Sr3PtN, optimized geometry, DFT PBE-GGA; values from VASP
! Fermi-level density of states   2.65 states/eV/f.u.
! Total magnetization   0.0 μB/f.u.
! Space-group type   No. 15
! E_form (uncorrected)   -537 meV/atom
! DFT total energy   -4.419 eV/atom
! Energy relative to the lowest polymorph listed for this composition   4 meV/atom
! Crystal system   monoclinic
&SYSTEM
  ibrav = 0, nat = 20, ntyp = 3
/
ATOMIC_SPECIES
Sr 87.62 Sr.upf
Pt 195.08 Pt.upf
N 14.01 N.upf
ATOMIC_POSITIONS crystal
Sr 0.6081 0.7558 0.9944
Sr 0.8919 0.0056 0.2442
Sr 0.3919 0.2442 0.0056
Sr 0.1081 0.9944 0.7558
Sr 0.9348 0.3581 0.9252
Sr 0.5652 0.0748 0.6419
Sr 0.0652 0.6419 0.0748
Sr 0.4348 0.9252 0.3581
Sr 0.5756 0.6111 0.6643
Sr 0.9244 0.3357 0.3889
Sr 0.4244 0.3889 0.3357
Sr 0.0756 0.6643 0.6111
Pt 0.2500 0.9333 0.0667
Pt 0.7500 0.0667 0.9333
Pt 0.2500 0.3360 0.6640
Pt 0.7500 0.6640 0.3360
N 0.8472 0.6309 0.8395
N 0.6528 0.1605 0.3691
N 0.1528 0.3691 0.1605
N 0.3472 0.8395 0.6309
CELL_PARAMETERS angstrom
7.2098 -0.0097 -0.0073
0.5311 9.0356 -0.3434
0.5311 2.2232 8.7646

(6)
! Sr4PtN4, optimized geometry, DFT PBE-GGA; values from VASP
! Fermi-level density of states   6.44 states/eV/f.u.
! Total magnetization   0.0 μB/f.u.
! Space-group type   No. 2
! E_form (uncorrected)   -308 meV/atom
! DFT total energy   -5.427 eV/atom
! Crystal system   triclinic
&SYSTEM
  ibrav = 0, nat = 18, ntyp = 3
/
ATOMIC_SPECIES
Sr 87.62 Sr.upf
Pt 195.08 Pt.upf
N 14.01 N.upf
ATOMIC_POSITIONS crystal
Sr 0.7971 0.5666 0.1497
Sr 0.2029 0.4334 0.8503
Sr 0.7014 0.1706 0.9870
Sr 0.2986 0.8294 0.0130
Sr 0.7443 0.4325 0.5953
Sr 0.2557 0.5675 0.4047
Sr 0.2224 0.9766 0.6225
Sr 0.7776 0.0234 0.3775
Pt 0.7294 0.8339 0.7622
Pt 0.2706 0.1661 0.2378
N 0.9876 0.6753 0.6166
N 0.0124 0.3247 0.3834
N 0.9703 0.8583 0.8745
N 0.0297 0.1417 0.1255
N 0.5166 0.6357 0.7782
N 0.4834 0.3643 0.2218
N 0.5146 0.8857 0.2300
N 0.4854 0.1143 0.7700
CELL_PARAMETERS angstrom
6.3985 -0.0055 -0.0010
1.6293 6.1028 -0.0080
1.4958 3.0016 8.5118

Look up the total magnetization of the fifth one. 0.0 μB/f.u.

Number 1 is which compound? Sr8Pt2N